Model a:
A plane-wave DFT calculation with GGA-PBE was carried out for an optimized crystal structure of KSr2Ga2.

Computed properties:
**Magnetic moment**: 0.00 μB per formula unit

Cell: 6.040 6.040 6.656 Å, 63.02 63.02 90.00°
Sites, in units of the cell vectors:
Sr  0.250  0.750  0.500
Sr  0.750  0.250  0.500
K  0.000  0.000  0.000
Ga  0.620  0.620  0.760
Ga  0.380  0.380  0.240



Model b:
A plane-wave DFT calculation with GGA-PBE was carried out for an optimized crystal structure of KSr2Ga2.

Computed properties:
**Magnetic moment**: 0.00 μB per formula unit

Cell: 5.852 5.852 7.581 Å, 67.30 67.30 90.00°
Sites, in units of the cell vectors:
Ga  0.250  0.750  0.500
Ga  0.750  0.250  0.500
Sr  0.343  0.343  0.314
Sr  0.657  0.657  0.686
K  0.000  0.000  0.000



Which is most stable? The ranking, best first, is model a, model b.



Model a:
A plane-wave DFT calculation with GGA-PBE was carried out for an optimized crystal structure of KSr2Ga2.

Computed properties:
**Magnetic moment**: 0.00 μB per formula unit

Cell: 9.054 9.054 4.293 Å, 90.00 90.00 90.00°
Sites, in units of the cell vectors:
Sr  0.175  0.675  0.500
Sr  0.325  0.175  0.500
Sr  0.825  0.325  0.500
Sr  0.675  0.825  0.500
Ga  0.106  0.394  0.000
Ga  0.606  0.106  0.000
Ga  0.894  0.606  0.000
Ga  0.394  0.894  0.000
K  0.500  0.500  0.000
K  0.000  0.000  0.000



Model b:
A plane-wave DFT calculation with GGA-PBE was carried out for an optimized crystal structure of KSr2Ga2.

Computed properties:
**Magnetic moment**: 0.00 μB per formula unit

Cell: 9.490 9.490 3.765 Å, 90.00 90.00 90.00°
Sites, in units of the cell vectors:
Ga  0.151  0.651  0.500
Ga  0.849  0.349  0.500
Ga  0.651  0.849  0.500
Ga  0.349  0.151  0.500
Sr  0.643  0.143  0.000
Sr  0.143  0.357  0.000
Sr  0.357  0.857  0.000
Sr  0.857  0.643  0.000
K  0.000  0.000  0.000
K  0.500  0.500  0.000



Which is most stable? The ranking, best first, is model a, model b.



Model a:
A plane-wave DFT calculation with GGA-PBE was carried out for an optimized crystal structure of KSrGa2.

Computed properties:
**Magnetic moment**: 0.00 μB per formula unit

Cell: 8.970 8.970 7.213 Å, 51.55 51.55 90.00°
Sites, in units of the cell vectors:
Sr  0.750  0.250  0.500
Sr  0.000  0.000  0.000
Ga  0.875  0.883  0.750
Ga  0.117  0.625  0.250
Ga  0.375  0.367  0.750
Ga  0.633  0.125  0.250
K  0.500  0.500  0.000
K  0.250  0.750  0.500



Model b:
A plane-wave DFT calculation with GGA-PBE was carried out for an optimized crystal structure of KSrGa2.

Computed properties:
**Magnetic moment**: 0.00 μB per formula unit

Cell: 5.596 5.596 5.596 Å, 60.00 60.00 60.00°
Sites, in units of the cell vectors:
Ga  0.250  0.250  0.250
Ga  0.750  0.750  0.750
Sr  0.500  0.500  0.500
K  0.000  0.000  0.000



Which is most stable? The ranking, best first, is model b, model a.



Model a:
A plane-wave DFT calculation with GGA-PBE was carried out for an optimized crystal structure of KTaGa3.

Computed properties:
**Magnetic moment**: 0.00 μB per formula unit

Cell: 5.083 5.083 5.083 Å, 90.00 90.00 90.00°
Sites, in units of the cell vectors:
K  0.000  0.000  0.000
Ga  0.000  0.500  0.000
Ga  0.500  0.000  0.000
Ga  0.000  0.000  0.500
Ta  0.500  0.500  0.500



Model b:
A plane-wave DFT calculation with GGA-PBE was carried out for an optimized crystal structure of KTaGa3.

Computed properties:
**Magnetic moment**: 0.00 μB per formula unit

Cell: 5.160 5.160 5.160 Å, 90.00 90.00 90.00°
Sites, in units of the cell vectors:
Ga  0.000  0.000  0.500
Ga  0.000  0.500  0.000
Ga  0.500  0.000  0.000
Ta  0.000  0.000  0.000
K  0.500  0.500  0.500



Which is most stable? The ranking, best first, is model b, model a.



Model a:
A plane-wave DFT calculation with GGA-PBE was carried out for an optimized crystal structure of KGaTe.

Computed properties:
**Magnetic moment**: 0.00 μB per formula unit

Cell: 6.203 4.449 4.449 Å, 120.00 90.00 90.00°
Sites, in units of the cell vectors:
Ga  0.055  0.000  0.000
Te  0.280  0.667  0.333
K  0.665  0.333  0.667



Model b:
A plane-wave DFT calculation with GGA-PBE was carried out for an optimized crystal structure of KGaTe.

Computed properties:
**Magnetic moment**: 0.00 μB per formula unit

Cell: 5.677 4.727 9.308 Å, 104.71 107.75 90.00°
Sites, in units of the cell vectors:
Te  0.135  0.635  0.270
Te  0.865  0.365  0.730
K  0.655  0.155  0.309
K  0.345  0.845  0.691
Ga  0.274  0.500  0.000
Ga  0.726  0.500  0.000



Which is most stable? The ranking, best first, is model a, model b.



Model a:
A plane-wave DFT calculation with GGA-PBE was carried out for an optimized crystal structure of KGa2Te2.

Computed properties:
**Magnetic moment**: 0.00 μB per formula unit

Cell: 8.670 8.670 3.818 Å, 90.00 90.00 90.00°
Sites, in units of the cell vectors:
K  0.000  0.000  0.000
K  0.500  0.500  0.000
Te  0.189  0.689  0.500
Te  0.311  0.189  0.500
Te  0.689  0.811  0.500
Te  0.811  0.311  0.500
Ga  0.113  0.387  0.000
Ga  0.887  0.613  0.000
Ga  0.387  0.887  0.000
Ga  0.613  0.113  0.000



Model b:
A plane-wave DFT calculation with GGA-PBE was carried out for an optimized crystal structure of KGa2Te2.

Computed properties:
**Magnetic moment**: 0.00 μB per formula unit

Cell: 5.322 5.322 7.391 Å, 68.90 68.90 90.00°
Sites, in units of the cell vectors:
Ga  0.750  0.250  0.500
Ga  0.250  0.750  0.500
K  0.000  0.000  0.000
Te  0.341  0.341  0.318
Te  0.659  0.659  0.682



Which is most stable? The ranking, best first, is model b, model a.